1.
The following is a DFT calculation (GGA-PBE) of an optimized crystal structure of TiBTeN2.

Unit cell a=3.654 b=3.654 c=4.820 alpha=90.00 beta=90.00 gamma=90.00
Fractional coordinates of all 5 atoms:
Ti1 0.000 0.000 0.000
B1 0.500 0.500 0.500
Te1 0.500 0.500 0.000
N1 0.000 0.500 0.500
N2 0.500 0.000 0.500

- total DFT energy (no corrections) (eV per atom) = -5.511
- uncorrected formation energy (eV per formula unit) = 6.81

=====

2.
The following is a DFT calculation (GGA-PBE) of an optimized crystal structure of NiMoAs2.

Unit cell a=4.725 b=4.725 c=4.725 alpha=137.25 beta=121.89 gamma=74.77
Fractional coordinates of all 4 atoms:
Ni1 0.000 0.000 0.000
Mo1 0.500 0.500 0.000
As1 0.220 0.720 0.500
As2 0.780 0.280 0.500

- total DFT energy (no corrections) (eV per atom) = -6.377
- energy of formation (eV per atom) = 0.10

=====

3.
The following is a DFT calculation (GGA-PBE) of an optimized crystal structure of K2MgZr2Se6.

Unit cell a=6.817 b=6.817 c=8.187 alpha=97.87 beta=97.87 gamma=120.19
Fractional coordinates of all 11 atoms:
K1 0.165 0.835 0.000
K2 0.835 0.165 0.000
Mg1 0.000 0.000 0.500
Zr1 0.333 0.667 0.500
Zr2 0.667 0.333 0.500
Se1 0.065 0.404 0.695
Se2 0.277 0.277 0.305
Se3 0.404 0.065 0.695
Se4 0.596 0.935 0.305
Se5 0.723 0.723 0.695
Se6 0.935 0.596 0.305

- total DFT energy (no corrections) (eV per atom) = -5.152
- uncorrected formation energy (eV per formula unit) = -14.88

=====

4.
The following is a DFT calculation (GGA-PBE) of an optimized crystal structure of PaAgSbO6.

Unit cell a=5.651 b=5.651 c=9.432 alpha=90.00 beta=90.00 gamma=120.00
Fractional coordinates of all 18 atoms:
Pa1 0.333 0.667 0.250
Pa2 0.667 0.333 0.750
Ag1 0.000 0.000 0.000
Ag2 0.000 0.000 0.500
Sb1 0.333 0.667 0.750
Sb2 0.667 0.333 0.250
O1 0.024 0.371 0.636
O2 0.024 0.653 0.864
O3 0.347 0.371 0.864
O4 0.347 0.976 0.636
O5 0.371 0.024 0.136
O6 0.371 0.347 0.364
O7 0.629 0.653 0.636
O8 0.629 0.976 0.864
O9 0.653 0.024 0.364
O10 0.653 0.629 0.136
O11 0.976 0.347 0.136
O12 0.976 0.629 0.364

- total DFT energy (no corrections) (eV per atom) = -6.899
- uncorrected formation energy (eV per formula unit) = -15.87

=====

5.
The following is a DFT calculation (GGA-PBE) of an optimized crystal structure of HfMgN2.

Unit cell a=6.407 b=4.434 c=7.436 alpha=90.00 beta=90.00 gamma=90.00
Fractional coordinates of all 16 atoms:
Hf1 0.087 0.250 0.130
Hf2 0.413 0.750 0.630
Hf3 0.587 0.250 0.370
Hf4 0.913 0.750 0.870
Mg1 0.078 0.250 0.619
Mg2 0.422 0.750 0.119
Mg3 0.578 0.250 0.881
Mg4 0.922 0.750 0.381
N1 0.079 0.750 0.115
N2 0.085 0.750 0.633
N3 0.415 0.250 0.133
N4 0.421 0.250 0.615
N5 0.579 0.750 0.385
N6 0.585 0.750 0.867
N7 0.915 0.250 0.367
N8 0.921 0.250 0.885

- total DFT energy (no corrections) (eV per atom) = -8.487
- uncorrected formation energy (eV per formula unit) = -5.75

=====

6.
The following is a DFT calculation (GGA-PBE) of an optimized crystal structure of La2CdCl.

Unit cell a=5.454 b=5.454 c=5.454 alpha=60.00 beta=60.00 gamma=60.00
Fractional coordinates of all 4 atoms:
La1 0.000 0.000 0.000
La2 0.250 0.250 0.250
Cd1 0.500 0.500 0.500
Cl1 0.750 0.750 0.750

- total DFT energy (no corrections) (eV per atom) = -3.306
- uncorrected formation energy (eV per formula unit) = -0.61

=====

7.
The following is a DFT calculation (GGA-PBE) of an optimized crystal structure of BaNa2SbBr8.

Unit cell a=6.747 b=9.314 c=7.031 alpha=90.00 beta=96.05 gamma=90.00
Fractional coordinates of all 12 atoms:
Ba1 0.000 0.000 0.000
Na1 0.500 0.250 0.500
Na2 0.500 0.750 0.500
Sb1 0.000 0.500 0.000
Br1 0.143 0.288 0.776
Br2 0.143 0.712 0.776
Br3 0.345 0.500 0.247
Br4 0.425 0.000 0.249
Br5 0.575 0.000 0.751
Br6 0.655 0.500 0.753
Br7 0.857 0.288 0.224
Br8 0.857 0.712 0.224

- total DFT energy (no corrections) (eV per atom) = -3.030
- uncorrected formation energy (eV per formula unit) = -14.30

=====

8.
The following is a DFT calculation (GGA-PBE) of an optimized crystal structure of LaSnSbRh3.

Unit cell a=8.848 b=8.848 c=5.822 alpha=90.00 beta=90.00 gamma=141.67
Fractional coordinates of all 12 atoms:
La1 0.237 0.763 0.750
La2 0.763 0.237 0.250
Sn1 0.098 0.902 0.250
Sn2 0.902 0.098 0.750
Sb1 0.408 0.592 0.250
Sb2 0.592 0.408 0.750
Rh1 0.247 0.247 0.000
Rh2 0.247 0.247 0.500
Rh3 0.254 0.746 0.250
Rh4 0.746 0.254 0.750
Rh5 0.753 0.753 0.000
Rh6 0.753 0.753 0.500

- total DFT energy (no corrections) (eV per atom) = -6.432
- uncorrected formation energy (eV per formula unit) = -3.49

=====

| no. | size of the total moment (μB per formula unit) |
| --- | --- |
| 1 | 0.34 |
| 2 | 0.00 |
| 3 | 0.00 |
| 4 | 1.06 |
| 5 | 0.00 |
| 6 | 0.25 |
| 7 | 0.00 |
| 8 | 0.00 |